# 1
First-principles (PBE) data for Pu2Pa2Ge4Ru after structural relaxation, as listed in the Alexandria database.

Values from the calculation:
* E_form: -0.216 eV/atom

```
Pu2Pa2Ge4Ru
1.0
-3.5515 3.5515 3.9180
3.5515 -3.5515 3.9180
3.5515 3.5515 -3.9180
Pu Pa Ge Ru
2 2 4 1
direct
0.1795 0.1795 0.0000
0.8205 0.8205 0.0000
0.2500 0.7500 0.5000
0.7500 0.2500 0.5000
0.2536 0.2536 0.5073
0.2536 0.7464 0.0000
0.7464 0.2536 0.0000
0.7464 0.7464 0.4927
0.5000 0.5000 0.0000
```

# 2
First-principles (PBE) data for K2CuTeO4 after structural relaxation, as listed in the Alexandria database.

Values from the calculation:
* energy relative to the elements, uncorrected: -1.082 eV/atom

```
K2CuTeO4
1.0
-3.0776 3.0776 3.7305
3.0776 -3.0776 3.7305
3.0776 3.0776 -3.7305
K Cu Te O
2 1 1 4
direct
0.0000 0.0000 0.0000
0.7500 0.2500 0.5000
0.5000 0.5000 0.0000
0.2500 0.7500 0.5000
0.2583 0.1278 0.5871
0.3288 0.7417 0.8695
0.5408 0.6712 0.4129
0.8722 0.4592 0.1305
```

# 3
First-principles (PBE) data for ErSi7Rh3 after structural relaxation, as listed in the Alexandria database.

Values from the calculation:
* energy relative to the elements, uncorrected: -0.688 eV/atom

```
ErSi7Rh3
1.0
3.8072 2.1981 6.6545
-3.8072 2.1981 6.6545
0.0000 -4.3961 6.6545
Er Si Rh
2 14 6
direct
0.0000 0.0000 0.0000
0.5000 0.5000 0.5000
0.0658 0.8513 0.6720
0.1487 0.3280 0.9342
0.1720 0.3513 0.5658
0.2500 0.2500 0.2500
0.3280 0.9342 0.1487
0.3513 0.5658 0.1720
0.4342 0.8280 0.6487
0.5658 0.1720 0.3513
0.6487 0.4342 0.8280
0.6720 0.0658 0.8513
0.7500 0.7500 0.7500
0.8280 0.6487 0.4342
0.8513 0.6720 0.0658
0.9342 0.1487 0.3280
0.0702 0.7500 0.4298
0.2500 0.5702 0.9298
0.4298 0.0702 0.7500
0.5702 0.9298 0.2500
0.7500 0.4298 0.0702
0.9298 0.2500 0.5702
```

# 4
First-principles (PBE) data for NaFeTc3 after structural relaxation, as listed in the Alexandria database.

Values from the calculation:
* offset from the most stable computed form: 0 meV/atom
* E_form: 1.334 eV/atom

```
NaFeTc3
1.0
4.4933 0.0000 0.0000
0.0000 4.4933 0.0000
0.0000 0.0000 4.4933
Na Fe Tc
1 1 3
direct
0.0000 0.0000 0.0000
0.5000 0.5000 0.5000
0.0000 0.5000 0.5000
0.5000 0.0000 0.5000
0.5000 0.5000 0.0000
```

# 5
First-principles (PBE) data for SrIn2TeIr after structural relaxation, as listed in the Alexandria database.

Values from the calculation:
* energy relative to the elements, uncorrected: -0.454 eV/atom

```
SrIn2TeIr
1.0
5.1491 0.0000 0.0000
0.0000 5.1491 0.0000
0.0000 0.0000 5.8901
Sr In Te Ir
1 2 1 1
direct
0.0000 0.0000 0.0000
0.0000 0.5000 0.5000
0.5000 0.0000 0.5000
0.5000 0.5000 0.0000
0.0000 0.0000 0.5000
```

# 6
First-principles (PBE) data for CsGePd3 after structural relaxation, as listed in the Alexandria database.

Values from the calculation:
* offset from the most stable computed form: 0 meV/atom
* E_form: 0.096 eV/atom

```
CsGePd3
1.0
4.9194 0.0000 0.0000
0.0000 4.9194 0.0000
0.0000 0.0000 4.9194
Cs Ge Pd
1 1 3
direct
0.0000 0.0000 0.0000
0.5000 0.5000 0.5000
0.0000 0.5000 0.5000
0.5000 0.0000 0.5000
0.5000 0.5000 0.0000
```